Entry 1:
Density functional theory data (PBE) for an optimized crystal structure of Pm3PSeO.

Lattice parameters (Å, degrees): 8.470 4.030 8.854 90.00 99.82 90.00
Space group P2_1/m (No. 11)
Asymmetric unit:
Pm: 0.079 0.250 0.339 (multiplicity 2)
Pm: 0.317 0.250 0.982 (multiplicity 2)
Pm: 0.386 0.750 0.641 (multiplicity 2)
P: 0.156 0.250 0.662 (multiplicity 2)
Se: 0.334 0.750 0.282 (multiplicity 2)
O: 0.413 0.750 0.909 (multiplicity 2)

Properties
* E_form (uncorrected): -2060 meV per atom


Entry 2:
Density functional theory data (PBE) for an optimized crystal structure of Tb2Pm4Nd2Ho.

Lattice parameters (Å, degrees): 18.947 3.659 9.717 90.00 115.64 90.00
Space group C2/m (No. 12)
Asymmetric unit:
Tb: 0.148 0.000 0.167 (multiplicity 4)
Pm: 0.018 0.500 0.833 (multiplicity 4)
Pm: 0.186 0.000 0.833 (multiplicity 4)
Nd: 0.166 0.500 0.498 (multiplicity 4)
Ho: 0.000 0.000 0.500 (multiplicity 2)


Entry 3:
Density functional theory data (PBE) for an optimized crystal structure of MgGa4Ag6.

Lattice parameters (Å, degrees): 8.8503 8.8503 2.9563 90.00 90.00 120.00
Space group P-6m2 (No. 187)
Asymmetric unit:
Mg: 0.0000 0.0000 0.0000 (multiplicity 1)
Ga: 0.3333 0.6667 0.0000 (multiplicity 1)
Ga: 0.3667 0.1833 0.5000 (multiplicity 3)
Ag: 0.1705 0.3410 0.5000 (multiplicity 3)
Ag: 0.5138 0.0276 0.0000 (multiplicity 3)


Entry 4:
Density functional theory data (PBE) for an optimized crystal structure of AsPRuCl2.

Lattice parameters (Å, degrees): 4.728 4.728 4.625 90.00 90.00 90.00
Space group P4/mmm (No. 123)
Asymmetric unit:
As: 0.000 0.000 0.000 (multiplicity 1)
P: 0.500 0.500 0.000 (multiplicity 1)
Ru: 0.500 0.500 0.500 (multiplicity 1)
Cl: 0.000 0.500 0.500 (multiplicity 2)

Properties
* E_form (uncorrected): 511 meV per atom
* ΔE to the lowest computed polymorph: 0.0000 eV per atom


Entry 5:
Density functional theory data (PBE) for an optimized crystal structure of K2ZnInAu2.

Lattice parameters (Å, degrees): 7.632 13.487 6.901 90.00 90.00 90.00
Space group Ibam (No. 72)
Asymmetric unit:
K: 0.206 0.184 0.000 (multiplicity 8)
Zn: 0.000 0.000 0.250 (multiplicity 4)
In: 0.000 0.500 0.250 (multiplicity 4)
Au: 0.232 0.068 0.500 (multiplicity 8)


Entry 6:
Density functional theory data (PBE) for an optimized crystal structure of DyPu5Au6.

Lattice parameters (Å, degrees): 5.143 7.281 15.423 90.00 90.00 90.00
Space group Immm (No. 71)
Asymmetric unit:
Dy: 0.000 0.000 0.000 (multiplicity 2)
Pu: 0.000 0.000 0.336 (multiplicity 4)
Pu: 0.000 0.500 0.000 (multiplicity 2)
Pu: 0.000 0.500 0.329 (multiplicity 4)
Au: 0.000 0.245 0.164 (multiplicity 8)
Au: 0.000 0.261 0.500 (multiplicity 4)


Entry 7:
Density functional theory data (PBE) for an optimized crystal structure of Tb2ErRh.

Lattice parameters (Å, degrees): 7.158 9.544 6.262 90.00 90.00 90.00
Space group Pnma (No. 62)
Asymmetric unit:
Tb: 0.179 0.064 0.172 (multiplicity 8)
Er: 0.036 0.250 0.640 (multiplicity 4)
Rh: 0.118 0.750 0.946 (multiplicity 4)

Properties
* ΔE to the lowest computed polymorph: 0.0000 eV per atom


Entry 8:
Density functional theory data (PBE) for an optimized crystal structure of NaGdSn4.

Lattice parameters (Å, degrees): 8.786 8.786 8.786 90.00 90.00 90.00
Space group F-43m (No. 216)
Asymmetric unit:
Na: 0.000 0.000 0.000 (multiplicity 4)
Gd: 0.250 0.250 0.250 (multiplicity 4)
Sn: 0.125 0.125 0.625 (multiplicity 16)


Final energy in eV/atom, matching the order above: -6.744, -4.701, -2.836, -4.095, -2.392, -8.426, -5.820, -5.490